# 1
Here is crystalline La3CoCl at its relaxed geometry from the Alexandria database. Energies are from PBE.

- raw formation energy (eV/atom) = -0.649
- SG = P-1 (2)

Cell lengths 3.8429, 8.8933, 9.0125 Å; angles 67.64, 89.67, 89.86 degrees
Atoms (fractional coordinates):
La  0.2405  0.2078  0.1183
La  0.2534  0.8109  0.5071
La  0.2568  0.5561  0.2446
La  0.7432  0.4439  0.7554
La  0.7466  0.1891  0.4929
La  0.7595  0.7922  0.8817
Co  0.2512  0.5856  0.8664
Co  0.7488  0.4144  0.1336
Cl  0.2495  0.1201  0.8059
Cl  0.7505  0.8799  0.1941

***

# 2
Here is crystalline CsTaAl at its relaxed geometry from the Alexandria database. Energies are from PBE.

- SG = P-1 (2)

Cell lengths 3.9947, 4.0310, 13.9373 Å; angles 81.84, 82.78, 90.00 degrees
Atoms (fractional coordinates):
Cs  0.1369  0.1535  0.1872
Cs  0.8631  0.8465  0.8128
Ta  0.0000  0.5000  0.5000
Ta  0.5000  0.0000  0.5000
Al  0.4385  0.4311  0.6403
Al  0.5615  0.5689  0.3597

***

| no. | total magnetization (μB/cell) | energy relative to the lowest polymorph listed for this composition (eV/atom) |
| --- | --- | --- |
| 1 | 0.00 | 0.0000 |
| 2 | 0.00 | 0.2829 |